1.
Material: SmY2Sb3
Method: DFT, PBE
State: relaxed

abc: 4.4146 4.4146 10.8183
angles: 90.00 90.00 120.00
Space group P-3m1 (No. 164)
One atom of each set of equivalent atoms:
1 Sm 0.0000 0.0000 0.0000 [1 per cell]
2 Y 0.3333 0.6667 0.3352 [2 per cell]
3 Sb 0.0000 0.0000 0.5000 [1 per cell]
4 Sb 0.3333 0.6667 0.8292 [2 per cell]

## Properties
VASP energy: -37.0 eV per cell

2.
Material: SmY3Sb4
Method: DFT, PBE
State: relaxed

abc: 6.235 6.235 6.235
angles: 90.00 90.00 90.00
Space group Pm-3m (No. 221)
One atom of each set of equivalent atoms:
1 Sm 0.000 0.000 0.000 [1 per cell]
2 Y 0.000 0.500 0.500 [3 per cell]
3 Sb 0.000 0.000 0.500 [3 per cell]
4 Sb 0.500 0.500 0.500 [1 per cell]

## Properties
VASP energy: -49.9 eV per cell

3.
Material: SmYSb
Method: DFT, PBE
State: relaxed

abc: 7.253 7.253 7.253
angles: 90.00 90.00 90.00
Space group F-43m (No. 216)
One atom of each set of equivalent atoms:
1 Sm 0.000 0.000 0.000 [4 per cell]
2 Y 0.000 0.000 0.500 [4 per cell]
3 Sb 0.250 0.250 0.750 [4 per cell]

## Properties
VASP energy: -68.4 eV per cell

4.
Material: SmYZr2Sb2
Method: DFT, PBE
State: relaxed

abc: 4.296 4.296 16.792
angles: 90.00 90.00 90.00
Space group I4mm (No. 107)
One atom of each set of equivalent atoms:
1 Sm 0.000 0.000 0.000 [2 per cell]
2 Y 0.000 0.000 0.646 [2 per cell]
3 Zr 0.000 0.500 0.322 [4 per cell]
4 Sb 0.000 0.000 0.191 [2 per cell]
5 Sb 0.000 0.000 0.453 [2 per cell]

## Properties
VASP energy: -82.9 eV per cell

5.
Material: SmZrSb
Method: DFT, PBE
State: relaxed

abc: 7.316 7.316 7.316
angles: 90.00 90.00 90.00
Space group F-43m (No. 216)
One atom of each set of equivalent atoms:
1 Sm 0.000 0.000 0.000 [4 per cell]
2 Zr 0.250 0.250 0.250 [4 per cell]
3 Sb 0.250 0.250 0.750 [4 per cell]

## Properties
VASP energy: -64.9 eV per cell

6.
Material: SmZrSb
Method: DFT, PBE
State: relaxed

abc: 4.361 4.361 8.356
angles: 90.00 90.00 90.00
Space group P4/nmm (No. 129, origin choice 2)
One atom of each set of equivalent atoms:
1 Sm 0.250 0.250 0.147 [2 per cell]
2 Zr 0.250 0.750 0.500 [2 per cell]
3 Sb 0.250 0.250 0.757 [2 per cell]

## Properties
VASP energy: -39.7 eV per cell

7.
Material: SmZrSb
Method: DFT, PBE
State: relaxed

abc: 7.035 7.035 7.035
angles: 90.00 90.00 90.00
Space group F-43m (No. 216)
One atom of each set of equivalent atoms:
1 Sm 0.000 0.000 0.000 [4 per cell]
2 Zr 0.000 0.000 0.500 [4 per cell]
3 Sb 0.250 0.250 0.250 [4 per cell]

## Properties
VASP energy: -73.6 eV per cell

8.
Material: TcSnSb
Method: DFT, PBE
State: relaxed

abc: 6.463 6.463 6.463
angles: 90.00 90.00 90.00
Space group F-43m (No. 216)
One atom of each set of equivalent atoms:
1 Tc 0.000 0.000 0.000 [4 per cell]
2 Sn 0.250 0.250 0.250 [4 per cell]
3 Sb 0.250 0.250 0.750 [4 per cell]

## Properties
energy relative to the lowest polymorph listed for this composition: 0.00 eV/f.u.

9.
Material: TcSn2Sb
Method: DFT, PBE
State: relaxed

abc: 7.027 7.027 7.027
angles: 90.00 90.00 90.00
Space group F-43m (No. 216)
One atom of each set of equivalent atoms:
1 Tc 0.000 0.000 0.000 [4 per cell]
2 Sn 0.000 0.000 0.500 [4 per cell]
3 Sn 0.250 0.250 0.750 [4 per cell]
4 Sb 0.250 0.250 0.250 [4 per cell]

## Properties
VASP energy: -82.1 eV per cell

10.
Material: TmSnSb
Method: DFT, PBE
State: relaxed

abc: 7.254 7.254 7.254
angles: 90.00 90.00 90.00
Space group F-43m (No. 216)
One atom of each set of equivalent atoms:
1 Tm 0.000 0.000 0.000 [4 per cell]
2 Sn 0.000 0.000 0.500 [4 per cell]
3 Sb 0.250 0.250 0.750 [4 per cell]

## Properties
energy relative to the lowest polymorph listed for this composition: 0.28 eV/f.u.

11.
Material: TmSnSb
Method: DFT, PBE
State: relaxed

abc: 7.220 7.220 7.220
angles: 90.00 90.00 90.00
Space group F-43m (No. 216)
One atom of each set of equivalent atoms:
1 Tm 0.000 0.000 0.000 [4 per cell]
2 Sn 0.250 0.250 0.250 [4 per cell]
3 Sb 0.250 0.250 0.750 [4 per cell]

## Properties
energy relative to the lowest polymorph listed for this composition: 0.00 eV/f.u.

12.
Material: TmZnSn2Sb4
Method: DFT, PBE
State: relaxed

abc: 6.661 6.661 13.202
angles: 90.00 90.00 90.00
Space group I-4 (No. 82)
One atom of each set of equivalent atoms:
1 Tm 0.000 0.000 0.000 [2 per cell]
2 Zn 0.000 0.500 0.750 [2 per cell]
3 Sn 0.000 0.000 0.500 [2 per cell]
4 Sn 0.000 0.500 0.250 [2 per cell]
5 Sb 0.225 0.261 0.632 [8 per cell]

## Properties
VASP energy: -61.7 eV per cell

Per-record size of the total moment, μB/cell: 0.00; 0.00; 0.04; 0.05; 14.31; 0.02; 2.70; 0.01; 0.05; 0.02; 0.00; 0.01
Per-record V, Å³/cell: 182.6; 242.4; 381.6; 310.0; 391.5; 158.9; 348.2; 270.0; 347.0; 381.7; 376.4; 585.8